(1)
Entry from the Open Quantum Materials Database: a geometry-optimized NdSmB2Os2N2 structure (PBE-GGA).

Summary:
VASP energy: -68.90 eV per cell

The structure in POSCAR format:
```
NdSmB2Os2N2
1.0
3.708 0.000 0.000
0.000 3.708 0.000
0.000 0.000 7.893
Nd Sm B Os N
1 1 2 2 2
Direct
0.000 0.000 0.000
0.500 0.500 0.325
0.000 0.000 0.497
0.500 0.500 0.828
0.000 0.500 0.662
0.500 0.000 0.662
0.000 0.000 0.308
0.500 0.500 0.018
```

***

(2)
Entry from the Open Quantum Materials Database: a geometry-optimized PrNdB2Pd2N2 structure (PBE-GGA).

Summary:
VASP energy: -57.85 eV per cell

The structure in POSCAR format:
```
PrNdB2Pd2N2
1.0
3.813 0.000 0.000
0.000 3.813 0.000
0.000 0.000 7.741
Pr Nd B Pd N
1 1 2 2 2
Direct
0.000 0.000 0.000
0.500 0.500 0.670
0.000 0.000 0.500
0.500 0.500 0.169
0.000 0.500 0.335
0.500 0.000 0.335
0.000 0.000 0.683
0.500 0.500 0.985
```

***

(3)
Entry from the Open Quantum Materials Database: a geometry-optimized PrNd2B2Pd2N3 structure (PBE-GGA).

Summary:
VASP energy: -73.66 eV per cell

The structure in POSCAR format:
```
PrNd2B2Pd2N3
1.0
-1.878 1.878 10.400
1.878 -1.878 10.400
1.878 1.878 -10.400
Pr Nd B Pd N
1 2 2 2 3
Direct
0.000 0.000 0.000
0.379 0.379 0.000
0.621 0.621 0.000
0.188 0.188 0.000
0.812 0.812 0.000
0.250 0.750 0.500
0.750 0.250 0.500
0.119 0.119 0.000
0.500 0.500 0.000
0.881 0.881 0.000
```

***

(4)
Entry from the Open Quantum Materials Database: a geometry-optimized TbNd2B2Pd2N3 structure (PBE-GGA).

Summary:
VASP energy: -73.93 eV per cell

The structure in POSCAR format:
```
TbNd2B2Pd2N3
1.0
-1.861 1.861 10.256
1.861 -1.861 10.256
1.861 1.861 -10.256
Tb Nd B Pd N
1 2 2 2 3
Direct
0.000 0.000 0.000
0.380 0.380 0.000
0.620 0.620 0.000
0.185 0.185 0.000
0.815 0.815 0.000
0.250 0.750 0.500
0.750 0.250 0.500
0.115 0.115 0.000
0.500 0.500 0.000
0.885 0.885 0.000
```

***

(5)
Entry from the Open Quantum Materials Database: a geometry-optimized Pr2NdB2N4 structure (PBE-GGA).

Summary:
VASP energy: -72.44 eV per cell

The structure in POSCAR format:
```
Pr2NdB2N4
1.0
-1.775 3.157 5.432
1.775 -3.157 5.432
1.775 3.157 -5.432
Pr Nd B N
2 1 2 4
Direct
0.201 0.201 0.000
0.799 0.799 0.000
0.500 0.000 0.500
0.143 0.500 0.643
0.857 0.500 0.357
0.138 0.382 0.757
0.375 0.618 0.757
0.625 0.382 0.243
0.862 0.618 0.243
```

***

(6)
Entry from the Open Quantum Materials Database: a geometry-optimized PrNd2B2N4 structure (PBE-GGA).

Summary:
VASP energy: -72.60 eV per cell

The structure in POSCAR format:
```
PrNd2B2N4
1.0
-1.775 3.149 5.405
1.775 -3.149 5.405
1.775 3.149 -5.405
Pr Nd B N
1 2 2 4
Direct
0.000 0.000 0.000
0.298 0.798 0.500
0.702 0.202 0.500
0.357 0.500 0.857
0.643 0.500 0.143
0.125 0.381 0.744
0.364 0.619 0.744
0.636 0.381 0.256
0.875 0.619 0.256
```

***

no.,total moment (μB/f.u.),volume (Å³/cell)
1,0.0,108.51
2,0.0,112.55
3,0.0,146.74
4,0.0,142.01
5,0.0,121.77
6,0.0,120.82